Arrangement i

DFT (PBE-GGA) results for RbIn4Pb2 after structural relaxation.

Cell: 4.9009 5.0974 10.1455 Å, 104.55 103.98 90.00°
Fractional coordinates of all 7 atoms:
Pb: 0.8250 0.8250 0.6500
In: 0.0787 0.5787 0.1573
In: 0.6669 0.6669 0.3337
In: 0.9213 0.4213 0.8427
Pb: 0.1750 0.1750 0.3500
In: 0.3331 0.3331 0.6663
Rb: 0.5000 0.0000 0.0000

Properties
* size of the total moment: 0.0 μB/f.u.

***

Arrangement ii

DFT (PBE-GGA) results for RbIn4Pb2 after structural relaxation.

Cell: 7.2433 7.2433 7.2433 Å, 107.25 107.25 114.00°
Fractional coordinates of all 7 atoms:
Rb: 0.0000 0.0000 0.0000
In: 0.7406 0.5000 0.2406
In: 0.5000 0.7406 0.2406
Pb: 0.2500 0.7500 0.5000
In: 0.5000 0.2594 0.7594
In: 0.2594 0.5000 0.7594
Pb: 0.7500 0.2500 0.5000

Properties
* size of the total moment: 0.0 μB/f.u.

***

Here are the energies relative to the best structure, in meV per atom: arrangement i 0; arrangement ii 83.

***

Arrangement i

DFT (PBE-GGA) results for RbIn4Pb after structural relaxation.

Cell: 5.3339 5.3339 8.2689 Å, 90.00 90.00 120.00°
Fractional coordinates of all 6 atoms:
In: 0.6667 0.3333 0.8039
In: 0.6667 0.3333 0.1961
Rb: 0.0000 0.0000 0.5000
In: 0.3333 0.6667 0.1961
In: 0.3333 0.6667 0.8039
Pb: 0.0000 0.0000 0.0000

Properties
* size of the total moment: 0.0 μB/f.u.

***

Arrangement ii

DFT (PBE-GGA) results for RbIn4Pb after structural relaxation.

Cell: 6.4548 6.4548 6.4548 Å, 60.00 60.00 60.00°
Fractional coordinates of all 6 atoms:
Rb: 0.2500 0.2500 0.2500
In: 0.6253 0.6253 0.6253
In: 0.6253 0.1241 0.6253
Pb: 0.0000 0.0000 0.0000
In: 0.6253 0.6253 0.1241
In: 0.1241 0.6253 0.6253

Properties
* size of the total moment: 0.0 μB/f.u.

***

Here are the energies relative to the best structure, in meV per atom: arrangement i 0; arrangement ii 62.

***

Arrangement i

DFT (PBE-GGA) results for RbIn2Pb2 after structural relaxation.

Cell: 9.6320 9.6320 3.5970 Å, 90.00 90.00 90.00°
Fractional coordinates of all 10 atoms:
In: 0.3666 0.8666 0.0000
Pb: 0.8460 0.3460 0.5000
Pb: 0.3460 0.1540 0.5000
Pb: 0.1540 0.6540 0.5000
In: 0.1334 0.3666 0.0000
Pb: 0.6540 0.8460 0.5000
Rb: 0.5000 0.5000 0.0000
Rb: 0.0000 0.0000 0.0000
In: 0.8666 0.6334 0.0000
In: 0.6334 0.1334 0.0000

Properties
* size of the total moment: 0.0 μB/f.u.

***

Arrangement ii

DFT (PBE-GGA) results for RbIn2Pb2 after structural relaxation.

Cell: 9.6708 9.6708 3.6232 Å, 90.00 90.00 90.00°
Fractional coordinates of all 10 atoms:
Pb: 0.1303 0.3697 0.0000
In: 0.3440 0.1560 0.5000
In: 0.8440 0.3440 0.5000
In: 0.1560 0.6560 0.5000
Pb: 0.8697 0.6303 0.0000
Rb: 0.5000 0.5000 0.0000
Rb: 0.0000 0.0000 0.0000
Pb: 0.6303 0.1303 0.0000
Pb: 0.3697 0.8697 0.0000
In: 0.6560 0.8440 0.5000

Properties
* size of the total moment: 0.0 μB/f.u.

***

Here are the energies relative to the best structure, in meV per atom: arrangement i 0; arrangement ii 7.

***

Arrangement i

DFT (PBE-GGA) results for RbIn2Pb4 after structural relaxation.

Cell: 6.2852 6.7488 6.7499 Å, 79.61 64.93 64.96°
Fractional coordinates of all 7 atoms:
In: 0.7609 0.4886 0.4885
Pb: 0.6876 0.0002 0.6157
Pb: 0.3125 0.3843 0.9998
Pb: 0.3124 0.9998 0.3843
In: 0.2391 0.5114 0.5115
Pb: 0.6875 0.6157 0.0002
Rb: 0.0000 0.0000 0.0000

Properties
* size of the total moment: 0.0 μB/f.u.

***

Arrangement ii

DFT (PBE-GGA) results for RbIn2Pb4 after structural relaxation.

Cell: 5.3747 5.3282 8.9762 Å, 107.27 90.00 90.00°
Fractional coordinates of all 7 atoms:
Pb: 0.0000 0.6894 0.3788
Rb: 0.0000 0.0000 0.0000
Pb: 0.5000 0.1858 0.3716
In: 0.5000 0.5859 0.1718
Pb: 0.5000 0.8142 0.6284
Pb: 0.0000 0.3106 0.6212
In: 0.5000 0.4141 0.8282

Properties
* size of the total moment: 0.0 μB/f.u.

***

Here are the energies relative to the best structure, in meV per atom: arrangement i 0; arrangement ii 14.

***

Arrangement i

DFT (PBE-GGA) results for Rb2InPb after structural relaxation.

Cell: 6.2288 6.2288 6.2288 Å, 60.00 60.00 60.00°
Fractional coordinates of all 4 atoms:
In: 0.0000 0.0000 0.0000
Rb: 0.7500 0.7500 0.7500
Rb: 0.2500 0.2500 0.2500
Pb: 0.5000 0.5000 0.5000

Properties
* size of the total moment: 0.0 μB/f.u.

***

Arrangement ii

DFT (PBE-GGA) results for Rb2InPb after structural relaxation.

Cell: 10.4590 10.4590 8.0994 Å, 49.78 49.78 90.00°
Fractional coordinates of all 8 atoms:
Rb: 0.6210 0.1250 0.2500
In: 0.5000 0.5000 0.0000
Pb: 0.0000 0.0000 0.0000
Rb: 0.1290 0.6250 0.2500
Rb: 0.3750 0.3790 0.7500
Rb: 0.8750 0.8710 0.7500
In: 0.2500 0.7500 0.5000
Pb: 0.7500 0.2500 0.5000

Properties
* size of the total moment: 0.0 μB/f.u.

***

Here are the energies relative to the best structure, in meV per atom: arrangement i 0; arrangement ii 59.

***

Arrangement i

DFT (PBE-GGA) results for Rb2In2Pb after structural relaxation.

Cell: 4.9299 4.9299 8.9279 Å, 73.97 73.97 90.00°
Fractional coordinates of all 5 atoms:
Rb: 0.7500 0.2500 0.5000
Pb: 0.0000 0.0000 0.0000
Rb: 0.2500 0.7500 0.5000
In: 0.5860 0.5860 0.8279
In: 0.4140 0.4140 0.1721

Properties
* size of the total moment: 0.0 μB/f.u.

***

Arrangement ii

DFT (PBE-GGA) results for Rb2In2Pb after structural relaxation.

Cell: 8.9750 7.9535 7.8099 Å, 83.61 78.63 55.65°
Fractional coordinates of all 10 atoms:
In: 0.6819 0.0000 0.1404
Pb: 0.8803 0.2395 0.0000
In: 0.3181 0.0000 0.8596
In: 0.9085 0.0000 0.3677
Rb: 0.1549 0.3273 0.2680
Rb: 0.5178 0.3273 0.7320
Rb: 0.8451 0.6727 0.7320
In: 0.0915 0.0000 0.6323
Rb: 0.4822 0.6727 0.2680
Pb: 0.1197 0.7605 0.0000

Properties
* size of the total moment: 0.0 μB/f.u.

***

Here are the energies relative to the best structure, in meV per atom: arrangement i 296; arrangement ii 0.

***

Arrangement i

DFT (PBE-GGA) results for RbTlInPb after structural relaxation.

Cell: 5.1075 5.1075 7.4640 Å, 69.99 69.99 60.00°
Fractional coordinates of all 4 atoms:
In: 0.3023 0.3023 0.0932
Pb: 0.5885 0.5885 0.2344
Tl: 0.0288 0.0288 0.9135
Rb: 0.8062 0.8062 0.5813

Properties
* size of the total moment: 0.0 μB/f.u.

***

Arrangement ii

DFT (PBE-GGA) results for RbTlInPb after structural relaxation.

Cell: 5.7735 5.7735 5.7735 Å, 60.00 60.00 60.00°
Fractional coordinates of all 4 atoms:
Pb: 0.5000 0.5000 0.5000
Tl: 0.2500 0.2500 0.2500
In: 0.7500 0.7500 0.7500
Rb: 0.0000 0.0000 0.0000

Properties
* size of the total moment: 0.0 μB/f.u.

***

Here are the energies relative to the best structure, in meV per atom: arrangement i 0; arrangement ii 74.

***

Arrangement i

DFT (PBE-GGA) results for InRePb after structural relaxation.

Cell: 5.3695 5.3700 5.3700 Å, 140.91 140.91 56.47°
Fractional coordinates of all 3 atoms:
In: 0.0119 0.0119 0.0000
Re: 0.6632 0.6632 0.0000
Pb: 0.3249 0.3249 0.0000

Properties
* size of the total moment: 0.0 μB/f.u.

***

Arrangement ii

DFT (PBE-GGA) results for InRePb after structural relaxation.

Cell: 6.9842 6.9842 6.9842 Å, 153.25 153.25 38.19°
Fractional coordinates of all 3 atoms:
In: 0.0358 0.0358 0.0000
Re: 0.6594 0.6594 0.0000
Pb: 0.3048 0.3048 0.0000

Properties
* size of the total moment: 0.0 μB/f.u.

***

Arrangement iii

DFT (PBE-GGA) results for InRePb after structural relaxation.

Cell: 5.0329 5.0329 2.9440 Å, 90.00 90.00 120.00°
Fractional coordinates of all 3 atoms:
In: 0.0000 0.0000 0.8334
Pb: 0.3333 0.6667 0.3344
Re: 0.6667 0.3333 0.8322

Properties
* size of the total moment: 0.0 μB/f.u.

***

Arrangement iv

DFT (PBE-GGA) results for InRePb after structural relaxation.

Cell: 8.2404 8.1148 3.0058 Å, 81.77 77.07 21.16°
Fractional coordinates of all 3 atoms:
Re: 0.6655 0.6655 0.3345
Pb: 0.3080 0.3080 0.6920
In: 0.0265 0.0265 0.9735

Properties
* size of the total moment: 0.0 μB/f.u.

***

Here are the energies relative to the best structure, in meV per atom: arrangement i 0; arrangement ii 44; arrangement iii 207; arrangement iv 77.

***

Arrangement i

DFT (PBE-GGA) results for InRePb after structural relaxation.

Cell: 3.2239 3.2239 7.2611 Å, 90.00 90.00 120.00°
Fractional coordinates of all 3 atoms:
Pb: 0.6667 0.3333 0.3662
Re: 0.3333 0.6667 0.6709
In: 0.0000 0.0000 0.9629

Properties
* size of the total moment: 0.0 μB/f.u.

***

Arrangement ii

DFT (PBE-GGA) results for InRePb after structural relaxation.

Cell: 4.6587 4.6587 4.6587 Å, 60.00 60.00 60.00°
Each line ends with the local moment (μB).
Fractional coordinates of all 3 atoms:
In: 0.0000 0.0000 0.0000  0.00
Re: 0.2500 0.2500 0.2500  0.07
Pb: 0.5000 0.5000 0.5000  0.00

Properties
* size of the total moment: 0.1 μB/f.u.

***

Here are the energies relative to the best structure, in meV per atom: arrangement i 0; arrangement ii 134.

***

Arrangement i

DFT (PBE-GGA) results for InRh2Pb2 after structural relaxation.

Cell: 7.3342 7.3342 3.8982 Å, 90.00 90.00 90.00°
Fractional coordinates of all 10 atoms:
Pb: 0.1558 0.6558 0.5000
Rh: 0.6464 0.1464 0.0000
Pb: 0.3442 0.1558 0.5000
In: 0.0000 0.0000 0.0000
Rh: 0.1464 0.3536 0.0000
In: 0.5000 0.5000 0.0000
Rh: 0.8536 0.6464 0.0000
Rh: 0.3536 0.8536 0.0000
Pb: 0.6558 0.8442 0.5000
Pb: 0.8442 0.3442 0.5000

Properties
* size of the total moment: 0.0 μB/f.u.

***

Arrangement ii

DFT (PBE-GGA) results for InRh2Pb2 after structural relaxation.

Cell: 4.5747 4.5747 6.5612 Å, 69.60 69.60 90.00°
Fractional coordinates of all 5 atoms:
In: 0.0000 0.0000 0.0000
Pb: 0.7500 0.2500 0.5000
Pb: 0.2500 0.7500 0.5000
Rh: 0.3902 0.3902 0.2196
Rh: 0.6098 0.6098 0.7804

Properties
* size of the total moment: 0.0 μB/f.u.

***

Arrangement iii

DFT (PBE-GGA) results for InRh2Pb2 after structural relaxation.

Cell: 3.8990 3.8990 8.5765 Å, 76.86 76.86 90.00°
Fractional coordinates of all 5 atoms:
In: 0.0000 0.0000 0.0000
Pb: 0.3710 0.3710 0.2580
Rh: 0.7500 0.2500 0.5000
Pb: 0.6290 0.6290 0.7420
Rh: 0.2500 0.7500 0.5000

Properties
* size of the total moment: 0.0 μB/f.u.

***

Here are the energies relative to the best structure, in meV per atom: arrangement i 0; arrangement ii 263; arrangement iii 189.

***

Arrangement i

DFT (PBE-GGA) results for In2PbS after structural relaxation.

Cell: 3.6720 3.6720 10.1391 Å, 79.57 79.57 60.00°
Fractional coordinates of all 4 atoms:
In: 0.1055 0.1055 0.6834
S: 0.5000 0.5000 0.5000
Pb: 0.0000 0.0000 0.0000
In: 0.8945 0.8945 0.3166

Properties
* size of the total moment: 0.0 μB/f.u.

***

Arrangement ii

DFT (PBE-GGA) results for In2PbS after structural relaxation.

Cell: 3.7023 3.7023 9.3149 Å, 78.54 78.54 60.00°
Fractional coordinates of all 4 atoms:
In: 0.2667 0.2667 0.2000
In: 0.0666 0.0666 0.8002
Pb: 0.4969 0.4969 0.5092
S: 0.6698 0.6698 0.9906

Properties
* size of the total moment: 0.0 μB/f.u.

***

Here are the energies relative to the best structure, in meV per atom: arrangement i 30; arrangement ii 0.

***

Arrangement i

DFT (PBE-GGA) results for In2PbS after structural relaxation.

Cell: 5.2759 5.2759 5.2759 Å, 60.00 60.00 60.00°
Fractional coordinates of all 4 atoms:
In: 0.2500 0.2500 0.2500
In: 0.7500 0.7500 0.7500
S: 0.0000 0.0000 0.0000
Pb: 0.5000 0.5000 0.5000

Properties
* size of the total moment: 0.0 μB/f.u.

***

Arrangement ii

DFT (PBE-GGA) results for In2PbS after structural relaxation.

Cell: 3.5589 3.5589 8.1032 Å, 90.00 90.00 90.00°
Fractional coordinates of all 4 atoms:
In: 0.0000 0.0000 0.2033
Pb: 0.5000 0.5000 0.5000
S: 0.5000 0.5000 0.0000
In: 0.0000 0.0000 0.7967

Properties
* size of the total moment: 0.0 μB/f.u.

***

Here are the energies relative to the best structure, in meV per atom: arrangement i 181; arrangement ii 0.